PBE with a Hubbard U Cr2GaSiO6, optimized geometry; final energy = -0.26858 Ha/atom
1.0
4.9414 0.0000 0.0000
-2.4056 4.4534 0.0000
-0.0704 -2.5368 4.5797
Cr Ga Si O
2 1 1 6
Cartesian
0.0000 0.0000 0.0000 Cr
0.0493 3.2098 2.0711 Cr
-0.0342 0.4313 2.9018 Ga
2.4717 1.5700 0.3407 Si
-0.9622 1.2543 1.2458 O
0.9831 -1.0250 3.6174 O
1.5281 0.3612 1.2174 O
0.6808 2.0369 3.6624 O
1.8717 2.9730 1.1500 O
3.2462 0.2076 3.7988 O